Compound: Rb2FeF7
Source: Alexandria
Functional: GGA+U
Structure: optimized geometry

extended XYZ file:
```
10
Lattice="6.345 0.000 0.000 0.000 6.345 0.000 3.173 3.173 4.186" Properties=species:S:1:pos:R:3 pbc="T T T"
F 3.173 3.173 0.000
F 5.038 5.038 0.000
F 3.173 3.173 2.264
F 5.038 1.308 0.000
F 1.308 5.038 0.000
F 6.345 6.345 1.922
F 1.308 1.308 0.000
Rb 6.345 3.173 2.093
Rb 3.173 6.345 2.093
Fe 0.000 0.000 0.000
```

## Properties
Final energy = -42.04 eV per cell